1.
# K2Na4TlSn2 (PBE-GGA, optimized geometry)
data_K2Na4TlSn2
_chemical_formula_sum 'K4 Na8 Tl2 Sn4'
_cell_length_a 15.258
_cell_length_b 7.910
_cell_length_c 5.657
_cell_angle_alpha 90.00
_cell_angle_beta 108.11
_cell_angle_gamma 90.00
_symmetry_space_group_name_H-M 'C 1 2/m 1'
_symmetry_Int_Tables_number 12
_symmetry_space_group_name_Hall '-C 2y'
loop_
_atom_site_label
_atom_site_type_symbol
_atom_site_fract_x
_atom_site_fract_y
_atom_site_fract_z
_atom_site_occupancy
K1 K 0.136 0.000 0.158 1
Na1 Na 0.138 0.293 0.657 1
Tl1 Tl 0.000 0.500 0.000 1
Sn1 Sn 0.195 0.500 0.210 1
# Energy relative to the elements ... -96 meV per atom
# Electronic total energy ... -37.41 eV for the cell shown

=====

2.
# KNa2TlSn (PBE-GGA, optimized geometry)
data_KNa2TlSn
_chemical_formula_sum 'K1 Na2 Tl1 Sn1'
_cell_length_a 5.973
_cell_length_b 5.973
_cell_length_c 5.962
_cell_angle_alpha 90.00
_cell_angle_beta 90.00
_cell_angle_gamma 90.00
_symmetry_space_group_name_H-M 'P 4/m m m'
_symmetry_Int_Tables_number 123
_symmetry_space_group_name_Hall '-P 4 2'
loop_
_atom_site_label
_atom_site_type_symbol
_atom_site_fract_x
_atom_site_fract_y
_atom_site_fract_z
_atom_site_occupancy
K1 K 0.000 0.000 0.000 1
Na1 Na 0.000 0.500 0.500 1
Tl1 Tl 0.500 0.500 0.000 1
Sn1 Sn 0.500 0.500 0.500 1
# Energy relative to the elements ... -31 meV per atom
# Electronic total energy ... -10.26 eV for the cell shown

=====

3.
# KNaY2Sn (PBE-GGA, optimized geometry)
data_KNaY2Sn
_chemical_formula_sum 'K1 Na1 Y2 Sn1'
_cell_length_a 5.702
_cell_length_b 5.702
_cell_length_c 5.439
_cell_angle_alpha 90.00
_cell_angle_beta 90.00
_cell_angle_gamma 90.00
_symmetry_space_group_name_H-M 'P 4/m m m'
_symmetry_Int_Tables_number 123
_symmetry_space_group_name_Hall '-P 4 2'
loop_
_atom_site_label
_atom_site_type_symbol
_atom_site_fract_x
_atom_site_fract_y
_atom_site_fract_z
_atom_site_occupancy
K1 K 0.000 0.000 0.000 1
Na1 Na 0.500 0.500 0.500 1
Y1 Y 0.000 0.500 0.500 1
Sn1 Sn 0.500 0.500 0.000 1
# Energy relative to the elements ... 591 meV per atom
# Electronic total energy ... -16.39 eV for the cell shown

=====

4.
# KNaZnSn2 (PBE-GGA, optimized geometry)
data_KNaZnSn2
_chemical_formula_sum 'K1 Na1 Zn1 Sn2'
_cell_length_a 5.589
_cell_length_b 5.589
_cell_length_c 5.497
_cell_angle_alpha 90.00
_cell_angle_beta 90.00
_cell_angle_gamma 90.00
_symmetry_space_group_name_H-M 'P 4/m m m'
_symmetry_Int_Tables_number 123
_symmetry_space_group_name_Hall '-P 4 2'
loop_
_atom_site_label
_atom_site_type_symbol
_atom_site_fract_x
_atom_site_fract_y
_atom_site_fract_z
_atom_site_occupancy
K1 K 0.000 0.000 0.000 1
Na1 Na 0.500 0.500 0.500 1
Zn1 Zn 0.500 0.500 0.000 1
Sn1 Sn 0.000 0.500 0.500 1
# Energy relative to the elements ... 381 meV per atom
# Electronic total energy ... -9.79 eV for the cell shown

=====

5.
# K4Na2ZnSn2 (PBE-GGA, optimized geometry)
data_K4Na2ZnSn2
_chemical_formula_sum 'K8 Na4 Zn2 Sn4'
_cell_length_a 14.585
_cell_length_b 7.356
_cell_length_c 6.908
_cell_angle_alpha 90.00
_cell_angle_beta 106.14
_cell_angle_gamma 90.00
_symmetry_space_group_name_H-M 'C 1 2/m 1'
_symmetry_Int_Tables_number 12
_symmetry_space_group_name_Hall '-C 2y'
loop_
_atom_site_label
_atom_site_type_symbol
_atom_site_fract_x
_atom_site_fract_y
_atom_site_fract_z
_atom_site_occupancy
K1 K 0.123 0.243 0.251 1
Na1 Na 0.160 0.500 0.806 1
Zn1 Zn 0.000 0.000 0.500 1
Sn1 Sn 0.160 0.000 0.784 1
# Energy relative to the elements ... -57 meV per atom
# Electronic total energy ... -33.65 eV for the cell shown

=====

6.
# K2Na2ZnSn2 (PBE-GGA, optimized geometry)
data_K2Na2ZnSn2
_chemical_formula_sum 'K4 Na4 Zn2 Sn4'
_cell_length_a 13.451
_cell_length_b 4.515
_cell_length_c 9.442
_cell_angle_alpha 90.00
_cell_angle_beta 122.21
_cell_angle_gamma 90.00
_symmetry_space_group_name_H-M 'C 1 2/m 1'
_symmetry_Int_Tables_number 12
_symmetry_space_group_name_Hall '-C 2y'
loop_
_atom_site_label
_atom_site_type_symbol
_atom_site_fract_x
_atom_site_fract_y
_atom_site_fract_z
_atom_site_occupancy
K1 K 0.147 0.000 0.298 1
Na1 Na 0.134 0.500 0.928 1
Zn1 Zn 0.000 0.500 0.500 1
Sn1 Sn 0.126 0.000 0.675 1
# Energy relative to the elements ... -123 meV per atom
# Electronic total energy ... -29.95 eV for the cell shown

=====

7.
# K3NaSr (PBE-GGA, optimized geometry)
data_K3NaSr
_chemical_formula_sum 'K3 Na1 Sr1'
_cell_length_a 7.806
_cell_length_b 7.806
_cell_length_c 7.806
_cell_angle_alpha 90.00
_cell_angle_beta 90.00
_cell_angle_gamma 90.00
_symmetry_space_group_name_H-M 'P m -3 m'
_symmetry_Int_Tables_number 221
_symmetry_space_group_name_Hall '-P 4 2 3'
loop_
_atom_site_label
_atom_site_type_symbol
_atom_site_fract_x
_atom_site_fract_y
_atom_site_fract_z
_atom_site_occupancy
K1 K 0.000 0.000 0.500 1
Na1 Na 0.500 0.500 0.500 1
Sr1 Sr 0.000 0.000 0.000 1
# Energy relative to the elements ... 456 meV per atom
# Electronic total energy ... -4.01 eV for the cell shown
# ΔE to the lowest computed polymorph ... 238 meV/atom

=====

8.
# KNa2Sr2 (PBE-GGA, optimized geometry)
data_KNa2Sr2
_chemical_formula_sum 'K2 Na4 Sr4'
_cell_length_a 7.304
_cell_length_b 4.207
_cell_length_c 16.975
_cell_angle_alpha 90.00
_cell_angle_beta 98.63
_cell_angle_gamma 90.00
_symmetry_space_group_name_H-M 'C 1 2/m 1'
_symmetry_Int_Tables_number 12
_symmetry_space_group_name_Hall '-C 2y'
loop_
_atom_site_label
_atom_site_type_symbol
_atom_site_fract_x
_atom_site_fract_y
_atom_site_fract_z
_atom_site_occupancy
K1 K 0.000 0.000 0.000 1
Na1 Na 0.100 0.500 0.796 1
Sr1 Sr 0.202 0.000 0.604 1
# Energy relative to the elements ... 49 meV per atom
# Electronic total energy ... -13.71 eV for the cell shown
# ΔE to the lowest computed polymorph ... 0 meV/atom

=====

9.
# K2NaSr (PBE-GGA, optimized geometry)
data_K2NaSr
_chemical_formula_sum 'K8 Na4 Sr4'
_cell_length_a 10.937
_cell_length_b 10.937
_cell_length_c 8.062
_cell_angle_alpha 90.00
_cell_angle_beta 90.00
_cell_angle_gamma 90.00
_symmetry_space_group_name_H-M 'I -4 2 d'
_symmetry_Int_Tables_number 122
_symmetry_space_group_name_Hall 'I -4 2bw'
loop_
_atom_site_label
_atom_site_type_symbol
_atom_site_fract_x
_atom_site_fract_y
_atom_site_fract_z
_atom_site_occupancy
K1 K 0.210 0.250 0.125 1
Na1 Na 0.000 0.000 0.000 1
Sr1 Sr 0.000 0.000 0.500 1
# Energy relative to the elements ... 177 meV per atom
# Electronic total energy ... -17.95 eV for the cell shown
# ΔE to the lowest computed polymorph ... 133 meV/atom

=====

10.
# K2NaSr (PBE-GGA, optimized geometry)
data_K2NaSr
_chemical_formula_sum 'K4 Na2 Sr2'
_cell_length_a 4.346
_cell_length_b 6.744
_cell_length_c 16.234
_cell_angle_alpha 90.00
_cell_angle_beta 90.99
_cell_angle_gamma 90.00
_symmetry_space_group_name_H-M 'P 1 21/m 1'
_symmetry_Int_Tables_number 11
_symmetry_space_group_name_Hall '-P 2yb'
loop_
_atom_site_label
_atom_site_type_symbol
_atom_site_fract_x
_atom_site_fract_y
_atom_site_fract_z
_atom_site_occupancy
K1 K 0.231 0.250 0.224 1
K2 K 0.254 0.250 0.929 1
Na1 Na 0.267 0.250 0.674 1
Sr1 Sr 0.251 0.750 0.534 1
# Energy relative to the elements ... 45 meV per atom
# Electronic total energy ... -10.03 eV for the cell shown
# ΔE to the lowest computed polymorph ... 0 meV/atom

=====

11.
# KNa4Sr5 (PBE-GGA, optimized geometry)
data_KNa4Sr5
_chemical_formula_sum 'K1 Na4 Sr5'
_cell_length_a 4.484
_cell_length_b 4.484
_cell_length_c 24.524
_cell_angle_alpha 90.00
_cell_angle_beta 90.00
_cell_angle_gamma 90.00
_symmetry_space_group_name_H-M 'P 4/m m m'
_symmetry_Int_Tables_number 123
_symmetry_space_group_name_Hall '-P 4 2'
loop_
_atom_site_label
_atom_site_type_symbol
_atom_site_fract_x
_atom_site_fract_y
_atom_site_fract_z
_atom_site_occupancy
K1 K 0.000 0.000 0.000 1
Na1 Na 0.000 0.000 0.225 1
Na2 Na 0.000 0.000 0.408 1
Sr1 Sr 0.500 0.500 0.132 1
Sr2 Sr 0.500 0.500 0.316 1
Sr3 Sr 0.500 0.500 0.500 1
# Energy relative to the elements ... 44 meV per atom
# Electronic total energy ... -14.35 eV for the cell shown

=====

12.
# K2Na2Sr (PBE-GGA, optimized geometry)
data_K2Na2Sr
_chemical_formula_sum 'K4 Na4 Sr2'
_cell_length_a 6.541
_cell_length_b 6.541
_cell_length_c 12.839
_cell_angle_alpha 90.00
_cell_angle_beta 90.00
_cell_angle_gamma 90.00
_symmetry_space_group_name_H-M 'I 4/m m m'
_symmetry_Int_Tables_number 139
_symmetry_space_group_name_Hall '-I 4 2'
loop_
_atom_site_label
_atom_site_type_symbol
_atom_site_fract_x
_atom_site_fract_y
_atom_site_fract_z
_atom_site_occupancy
K1 K 0.000 0.000 0.137 1
Na1 Na 0.000 0.500 0.250 1
Sr1 Sr 0.000 0.000 0.500 1
# Energy relative to the elements ... 179 meV per atom
# Electronic total energy ... -11.24 eV for the cell shown
# ΔE to the lowest computed polymorph ... 100 meV/atom